# 1
Density functional theory data (GGA-PBE) for a relaxed ThAlCuPd crystal.

Properties
Energy relative to the elements in eV per atom: -0.5699
M_tot in μB/f.u.: 0.00
E_tot in eV/cell: -22.73

a = 4.367 Å, b = 4.367 Å, c = 5.395 Å
α = 113.67°, β = 113.67°, γ = 60.07°
Positions (direct):
1 Th 0.000 0.000 0.000
2 Al 0.494 0.494 0.483
3 Cu 0.791 0.791 0.373
4 Pd 0.210 0.210 0.631


# 2
Density functional theory data (GGA-PBE) for a relaxed ThAl3CuPd crystal.

Properties
Energy relative to the elements in eV per atom: -0.3386
M_tot in μB/f.u.: 0.00
E_tot in eV/cell: -59.94

a = 7.130 Å, b = 7.130 Å, c = 5.787 Å
α = 90.00°, β = 90.00°, γ = 129.11°
Positions (direct):
1 Th 0.209 0.791 0.750
2 Th 0.791 0.209 0.250
3 Al 0.206 0.206 0.000
4 Al 0.206 0.206 0.500
5 Al 0.360 0.640 0.250
6 Al 0.640 0.360 0.750
7 Al 0.794 0.794 0.000
8 Al 0.794 0.794 0.500
9 Cu 0.148 0.852 0.250
10 Cu 0.852 0.148 0.750
11 Pd 0.420 0.580 0.750
12 Pd 0.580 0.420 0.250


# 3
Density functional theory data (GGA-PBE) for a relaxed Ti2Al5CuPd2 crystal.

Properties
Energy relative to the elements in eV per atom: -0.4248
M_tot in μB/f.u.: 0.00
E_tot in eV/cell: -106.46

a = 10.093 Å, b = 10.093 Å, c = 3.112 Å
α = 90.00°, β = 90.00°, γ = 90.00°
Positions (direct):
1 Ti 0.177 0.323 0.000
2 Ti 0.323 0.823 0.000
3 Ti 0.677 0.177 0.000
4 Ti 0.823 0.677 0.000
5 Al 0.000 0.500 0.500
6 Al 0.038 0.804 0.500
7 Al 0.196 0.038 0.500
8 Al 0.304 0.538 0.500
9 Al 0.462 0.304 0.500
10 Al 0.500 0.000 0.500
11 Al 0.538 0.696 0.500
12 Al 0.696 0.462 0.500
13 Al 0.804 0.962 0.500
14 Al 0.962 0.196 0.500
15 Cu 0.000 0.000 0.000
16 Cu 0.500 0.500 0.000
17 Pd 0.135 0.635 0.000
18 Pd 0.365 0.135 0.000
19 Pd 0.635 0.865 0.000
20 Pd 0.865 0.365 0.000


# 4
Density functional theory data (GGA-PBE) for a relaxed Tm2Al4Cu3Pd crystal.

Properties
Energy relative to the elements in eV per atom: -0.5029
M_tot in μB/f.u.: 0.00
E_tot in eV/cell: -46.42

a = 4.104 Å, b = 4.104 Å, c = 10.318 Å
α = 90.00°, β = 90.00°, γ = 90.00°
Positions (direct):
1 Tm 0.000 0.500 0.247
2 Tm 0.500 0.000 0.753
3 Al 0.000 0.000 0.000
4 Al 0.000 0.500 0.634
5 Al 0.500 0.000 0.366
6 Al 0.500 0.500 0.000
7 Cu 0.000 0.500 0.865
8 Cu 0.500 0.000 0.135
9 Cu 0.500 0.500 0.500
10 Pd 0.000 0.000 0.500


# 5
Density functional theory data (GGA-PBE) for a relaxed Tm2Al3Cu12Pd crystal.

Properties
Energy relative to the elements in eV per atom: 0.0062
M_tot in μB/f.u.: 0.00
E_tot in eV/cell: -74.41

a = 12.427 Å, b = 12.427 Å, c = 12.427 Å
α = 24.21°, β = 24.21°, γ = 24.21°
Positions (direct):
1 Tm 0.144 0.144 0.144
2 Tm 0.856 0.856 0.856
3 Al 0.000 0.500 0.500
4 Al 0.500 0.000 0.500
5 Al 0.500 0.500 0.000
6 Cu 0.104 0.104 0.625
7 Cu 0.104 0.625 0.104
8 Cu 0.106 0.611 0.611
9 Cu 0.375 0.896 0.896
10 Cu 0.389 0.389 0.894
11 Cu 0.389 0.894 0.389
12 Cu 0.611 0.106 0.611
13 Cu 0.611 0.611 0.106
14 Cu 0.625 0.104 0.104
15 Cu 0.894 0.389 0.389
16 Cu 0.896 0.375 0.896
17 Cu 0.896 0.896 0.375
18 Pd 0.500 0.500 0.500


# 6
Density functional theory data (GGA-PBE) for a relaxed Tm4AlCu2Pd crystal.

Properties
Energy relative to the elements in eV per atom: -0.4789
M_tot in μB/f.u.: 0.00
E_tot in eV/cell: -38.85

a = 8.534 Å, b = 8.534 Å, c = 8.534 Å
α = 33.37°, β = 33.37°, γ = 33.37°
Positions (direct):
1 Tm 0.121 0.121 0.121
2 Tm 0.373 0.373 0.373
3 Tm 0.627 0.627 0.627
4 Tm 0.879 0.879 0.879
5 Al 0.500 0.500 0.500
6 Cu 0.241 0.241 0.241
7 Cu 0.759 0.759 0.759
8 Pd 0.000 0.000 0.000